(1)
Entry from Alexandria via LeMat-Bulk: a geometry-optimized NaAc2TbTe4 structure (PBE-GGA).

a = 4.5971 Å, b = 7.8943 Å, c = 8.0423 Å
α = 70.59°, β = 90.00°, γ = 90.00°
Closest atoms and distances in Å follow each position.
Fractional coordinates of all 8 atoms:
1 Te 0.5000 0.2725 0.7406  2 Tb 3.15, 1 Na 3.17, 3 Ac 3.34-3.36
2 Te 0.0000 0.7310 0.7524  1 Tb 3.15, 2 Na 3.19, 3 Ac 3.32-3.36
3 Te 0.5000 0.7275 0.2594  2 Tb 3.15, 1 Na 3.17, 3 Ac 3.34-3.36
4 Te 0.0000 0.2690 0.2476  1 Tb 3.15, 2 Na 3.19, 3 Ac 3.32-3.36
5 Na 0.5000 0.5000 0.0000  6 Te 3.17-3.19
6 Ac 0.5000 0.0000 0.5000  6 Te 3.32-3.34
7 Ac 0.0000 0.0000 0.0000  6 Te 3.36
8 Tb 0.0000 0.5000 0.5000  6 Te 3.15

Calculated values
ρ: 6.9 g/cm³
D(E_F): 3.2 states/eV/cell
Final energy: -4.734 eV/atom
Total moment: 0.00 μB per cell

***

(2)
Entry from Alexandria via LeMat-Bulk: a geometry-optimized ZrBe2ReSe structure (PBE-GGA).

a = 4.2998 Å, b = 4.2998 Å, c = 5.1083 Å
α = 90.00°, β = 90.00°, γ = 90.00°
Closest atoms and distances in Å follow each position.
Fractional coordinates of all 5 atoms:
1 Re 0.0000 0.0000 0.0000  4 Be 2.15
2 Be 0.0000 0.5000 0.0000  2 Re 2.15
3 Be 0.5000 0.0000 0.0000  2 Re 2.15
4 Se 0.5000 0.5000 0.5000  4 Zr 3.04, 8 Be 3.34
5 Zr 0.0000 0.0000 0.5000  2 Re 2.55

Calculated values
ρ: 6.6 g/cm³
D(E_F): 3.3 states/eV/cell
Final energy: -5.689 eV/atom
Total moment: 0.00 μB per cell

***

(3)
Entry from Alexandria via LeMat-Bulk: a geometry-optimized Cr2BiAsPd structure (PBE-GGA).

a = 5.0711 Å, b = 4.5826 Å, c = 5.0711 Å
α = 90.00°, β = 90.00°, γ = 90.00°
Closest atoms and distances in Å follow each position.
Fractional coordinates of all 5 atoms:
1 Bi 0.5000 0.5000 0.5000  8 Cr 3.42, 4 As 3.59
2 Cr 0.5000 0.0000 0.0000  2 Pd 2.54
3 Cr 0.0000 0.0000 0.5000  2 Pd 2.54
4 Pd 0.0000 0.0000 0.0000  2 As 2.29, 4 Cr 2.54
5 As 0.0000 0.5000 0.0000  2 Pd 2.29

Calculated values
ρ: 7.0 g/cm³
D(E_F): 3.1 states/eV/cell
Final energy: -5.947 eV/atom
Total moment: 8.63 μB per cell

***

(4)
Entry from Alexandria via LeMat-Bulk: a geometry-optimized Rb2Bi5Au4 structure (PBE-GGA).

a = 6.9940 Å, b = 7.1785 Å, c = 8.6603 Å
α = 73.89°, β = 66.18°, γ = 60.85°
Closest atoms and distances in Å follow each position.
Fractional coordinates of all 11 atoms:
1 Rb 0.6939 0.2445 0.3676  4 Au 3.40-3.63, 2 Bi 3.81
2 Rb 0.3061 0.7555 0.6324  4 Au 3.40-3.63, 2 Bi 3.81
3 Au 0.2588 0.4623 0.0201  1 Au 2.83, 4 Bi 2.88-2.97
4 Au 0.7127 0.8669 0.7078  1 Au 2.83, 3 Bi 2.96-3.06
5 Au 0.7412 0.5377 0.9799  1 Au 2.83, 4 Bi 2.88-2.97
6 Au 0.2873 0.1331 0.2922  1 Au 2.83, 3 Bi 2.96-3.06
7 Bi 0.7835 0.7989 0.1521  3 Au 2.88-3.06
8 Bi 0.0000 0.5000 0.5000  2 Au 2.96
9 Bi 0.2654 0.7989 0.1521  3 Au 2.88-3.06
10 Bi 0.2165 0.2011 0.8479  3 Au 2.88-3.06
11 Bi 0.7346 0.2011 0.8479  3 Au 2.88-3.06

Calculated values
ρ: 9.6 g/cm³
D(E_F): 4.1 states/eV/cell
Final energy: -3.275 eV/atom
Total moment: 0.00 μB per cell

***

(5)
Entry from Alexandria via LeMat-Bulk: a geometry-optimized TmCuSi2Os structure (PBE-GGA).

a = 3.9812 Å, b = 3.9812 Å, c = 5.7792 Å
α = 110.15°, β = 110.15°, γ = 90.00°
Closest atoms and distances in Å follow each position.
Fractional coordinates of all 5 atoms:
1 Si 0.3825 0.3825 0.7651  1 Si 2.37, 2 Os 2.40, 2 Cu 2.40
2 Si 0.6175 0.6175 0.2349  1 Si 2.37, 2 Cu 2.40, 2 Os 2.40
3 Cu 0.7500 0.2500 0.5000  4 Si 2.40
4 Tm 0.0000 0.0000 0.0000  8 Si 3.05, 4 Os 3.21, 4 Cu 3.21
5 Os 0.2500 0.7500 0.5000  4 Si 2.40

Calculated values
ρ: 9.9 g/cm³
D(E_F): 2.7 states/eV/cell
Final energy: -6.690 eV/atom
Total moment: 0.00 μB per cell

***

(6)
Entry from Alexandria via LeMat-Bulk: a geometry-optimized Ba2GaNiTe structure (PBE-GGA).

a = 5.9835 Å, b = 5.9835 Å, c = 4.6022 Å
α = 90.00°, β = 90.00°, γ = 90.00°
Closest atoms and distances in Å follow each position.
Fractional coordinates of all 5 atoms:
1 Ga 0.0000 0.0000 0.5000  2 Ni 2.30
2 Ni 0.0000 0.0000 0.0000  2 Ga 2.30
3 Ba 0.5000 0.0000 0.0000  2 Ni 2.99
4 Ba 0.0000 0.5000 0.0000  2 Ni 2.99
5 Te 0.5000 0.5000 0.5000  8 Ba 3.77

Calculated values
ρ: 5.3 g/cm³
D(E_F): 3.2 states/eV/cell
Final energy: -3.866 eV/atom
Total moment: 0.00 μB per cell

***

(7)
Entry from Alexandria via LeMat-Bulk: a geometry-optimized SiAsOs2 structure (PBE-GGA).

a = 4.5481 Å, b = 4.5481 Å, c = 4.5462 Å
α = 76.09°, β = 76.09°, γ = 38.89°
Closest atoms and distances in Å follow each position.
Fractional coordinates of all 4 atoms:
1 As 0.7467 0.7467 0.7934  5 Os 2.46-2.56
2 Os 0.0054 0.0054 0.9356  3 As 2.46-2.51, 4 Si 2.71-2.76
3 Os 0.2404 0.2404 0.3431  3 Si 2.42-2.46, 2 As 2.56
4 Si 0.5075 0.5075 0.4279  5 Os 2.42-2.71

Calculated values
ρ: 14.1 g/cm³
D(E_F): 1.9 states/eV/cell
Final energy: -8.089 eV/atom
ΔE to the lowest computed polymorph: 5 meV/atom
Total moment: 0.00 μB per cell

***

(8)
Entry from Alexandria via LeMat-Bulk: a geometry-optimized Rb2MgHgCl6 structure (PBE-GGA).

a = 7.5067 Å, b = 7.4634 Å, c = 10.1823 Å
α = 90.00°, β = 88.46°, γ = 90.00°
Closest atoms and distances in Å follow each position.
Fractional coordinates of all 20 atoms:
1 Cl 0.7594 0.7956 0.9685  1 Mg 2.49
2 Cl 0.2019 0.2386 0.4685  1 Mg 2.49
3 Cl 0.2406 0.2044 0.0315  1 Mg 2.49
4 Cl 0.7981 0.7614 0.5315  1 Mg 2.49
5 Cl 0.2594 0.7044 0.4685  1 Mg 2.49
6 Cl 0.5675 0.0061 0.2578  1 Hg 2.50, 1 Mg 2.69
7 Cl 0.4325 0.9939 0.7422  1 Hg 2.50, 1 Mg 2.69
8 Cl 0.9325 0.5061 0.2422  1 Hg 2.50, 1 Mg 2.69
9 Cl 0.2981 0.7386 0.0315  1 Mg 2.49
10 Cl 0.7019 0.2614 0.9685  1 Mg 2.49
11 Cl 0.0675 0.4939 0.7578  1 Hg 2.50, 1 Mg 2.69
12 Cl 0.7406 0.2956 0.5315  1 Mg 2.49
13 Rb 0.5108 0.5363 0.7529  8 Cl 3.33-3.72
14 Rb 0.9892 0.0363 0.7471  8 Cl 3.33-3.72
15 Rb 0.0108 0.9637 0.2529  8 Cl 3.33-3.72
16 Rb 0.4892 0.4637 0.2471  8 Cl 3.33-3.72
17 Mg 0.0000 0.5000 0.5000  6 Cl 2.49-2.69
18 Mg 0.5000 0.0000 0.0000  6 Cl 2.49-2.69
19 Hg 0.0000 0.5000 0.0000  2 Cl 2.50
20 Hg 0.5000 0.0000 0.5000  2 Cl 2.50

Calculated values
ρ: 3.5 g/cm³
D(E_F): 0.0 states/eV/cell
Final energy: -3.001 eV/atom
Total moment: 0.00 μB per cell

***

(9)
Entry from Alexandria via LeMat-Bulk: a geometry-optimized AgSn2Te2 structure (PBE-GGA).

a = 4.2307 Å, b = 4.2307 Å, c = 8.8009 Å
α = 76.09°, β = 76.09°, γ = 90.00°
Closest atoms and distances in Å follow each position.
Fractional coordinates of all 5 atoms:
1 Te 0.4080 0.4080 0.1840  1 Te 3.05, 4 Ag 3.36, 4 Sn 3.36
2 Te 0.5920 0.5920 0.8160  1 Te 3.05, 4 Ag 3.36, 4 Sn 3.36
3 Ag 0.0000 0.0000 0.0000  8 Te 3.36
4 Sn 0.2500 0.7500 0.5000  4 Sn 2.99
5 Sn 0.7500 0.2500 0.5000  4 Sn 2.99

Calculated values
ρ: 6.7 g/cm³
D(E_F): 2.0 states/eV/cell
Final energy: -3.254 eV/atom
ΔE to the lowest computed polymorph: 139 meV/atom
Total moment: 0.00 μB per cell

***

(10)
Entry from Alexandria via LeMat-Bulk: a geometry-optimized DyTaOsRu structure (PBE-GGA).

a = 4.6326 Å, b = 4.6326 Å, c = 4.6326 Å
α = 60.00°, β = 60.00°, γ = 60.00°
Closest atoms and distances in Å follow each position.
Fractional coordinates of all 4 atoms:
1 Os 0.2500 0.2500 0.2500  4 Ta 2.84, 4 Dy 2.84
2 Ru 0.7500 0.7500 0.7500  4 Dy 2.84, 4 Ta 2.84
3 Dy 0.5000 0.5000 0.5000  4 Os 2.84, 4 Ru 2.84
4 Ta 0.0000 0.0000 0.0000  4 Ru 2.84, 4 Os 2.84

Calculated values
ρ: 15.0 g/cm³
D(E_F): 2.0 states/eV/cell
Final energy: -9.530 eV/atom
Total moment: 0.00 μB per cell

***

(11)
Entry from Alexandria via LeMat-Bulk: a geometry-optimized Sm6In2Pt structure (PBE-GGA).

a = 3.8831 Å, b = 8.8691 Å, c = 8.8652 Å
α = 120.01°, β = 90.00°, γ = 90.00°
Closest atoms and distances in Å follow each position.
Fractional coordinates of all 9 atoms:
1 Sm 0.5000 0.9999 0.6031  4 In 3.34, 1 Pt 3.52, 6 Sm 3.64-3.71
2 Sm 0.5000 0.3967 0.3969  4 In 3.34, 1 Pt 3.52, 6 Sm 3.64-3.71
3 Sm 0.5000 0.6030 0.0000  4 In 3.34, 1 Pt 3.53, 6 Sm 3.64-3.71
4 Sm 0.0000 0.7533 0.7535  2 Pt 2.93
5 Sm 0.0000 0.2472 0.0000  2 Pt 2.93
6 Sm 0.0000 0.9998 0.2465  2 Pt 2.93
7 In 0.0000 0.6665 0.3335  9 Sm 3.34-3.41
8 In 0.0000 0.3331 0.6665  9 Sm 3.34-3.41
9 Pt 0.5000 0.0005 0.0000  6 Sm 2.93

Calculated values
ρ: 8.3 g/cm³
D(E_F): 12.6 states/eV/cell
Final energy: -4.926 eV/atom
ΔE to the lowest computed polymorph: 0 meV/atom
Total moment: 0.00 μB per cell

***

(12)
Entry from Alexandria via LeMat-Bulk: a geometry-optimized Ba5Sr2Rh structure (PBE-GGA).

a = 10.7916 Å, b = 10.7919 Å, c = 8.6005 Å
α = 51.14°, β = 51.15°, γ = 90.00°
Closest atoms and distances in Å follow each position.
Fractional coordinates of all 8 atoms:
1 Ba 0.1500 0.7698 0.0802  1 Rh 2.96
2 Ba 0.7701 0.1502 0.0797  1 Rh 2.97
3 Ba 0.4269 0.4270 0.1459  1 Rh 3.09
4 Ba 0.1500 0.1500 0.0802  1 Rh 2.96
5 Ba 0.7701 0.7701 0.0797  1 Rh 2.97
6 Sr 0.7092 0.2094 0.5813  2 Sr 3.97, 8 Ba 4.39-4.40
7 Sr 0.2094 0.7094 0.5813  2 Sr 3.97, 8 Ba 4.39-4.40
8 Rh 0.0373 0.0372 0.9257  5 Ba 2.96-3.09

Calculated values
ρ: 3.5 g/cm³
D(E_F): 10.7 states/eV/cell
Final energy: -2.502 eV/atom
Total moment: 0.00 μB per cell

***

(13)
Entry from Alexandria via LeMat-Bulk: a geometry-optimized RuC structure (PBE-GGA).

a = 3.2280 Å, b = 3.2280 Å, c = 3.2280 Å
α = 60.00°, β = 60.00°, γ = 60.00°
Closest atoms and distances in Å follow each position.
Fractional coordinates of all 2 atoms:
1 C 0.0000 0.0000 0.0000  4 Ru 1.98
2 Ru 0.7500 0.7500 0.7500  4 C 1.98

Calculated values
ρ: 7.9 g/cm³
Final energy: -8.792 eV/atom
ΔE to the lowest computed polymorph: 92 meV/atom
Total moment: 0.00 μB per cell

***

(14)
Entry from Alexandria via LeMat-Bulk: a geometry-optimized Cr2MoRu structure (PBE-GGA).

a = 4.6956 Å, b = 4.6956 Å, c = 4.6956 Å
α = 133.10°, β = 133.10°, γ = 68.50°
Closest atoms and distances in Å follow each position.
Fractional coordinates of all 4 atoms:
1 Mo 0.5000 0.5000 0.0000  8 Cr 2.64-2.69, 4 Ru 2.69
2 Ru 0.7500 0.2500 0.5000  8 Cr 2.64-2.69, 4 Mo 2.69
3 Cr 0.0000 0.0000 0.0000  4 Mo 2.64, 4 Ru 2.69, 4 Cr 2.69
4 Cr 0.2500 0.7500 0.5000  4 Ru 2.64, 4 Cr 2.69, 4 Mo 2.69

Calculated values
ρ: 9.2 g/cm³
D(E_F): 5.8 states/eV/cell
Final energy: -9.587 eV/atom
Total moment: 0.64 μB per cell

***

(15)
Entry from Alexandria via LeMat-Bulk: a geometry-optimized Sr2CuO2F2 structure (PBE-GGA).

a = 7.0701 Å, b = 7.0701 Å, c = 7.0701 Å
α = 147.12°, β = 147.12°, γ = 47.18°
Closest atoms and distances in Å follow each position.
Fractional coordinates of all 7 atoms:
1 Sr 0.6345 0.6345 0.0000  4 F 2.50, 4 O 2.65
2 Sr 0.3655 0.3655 0.0000  4 F 2.50, 4 O 2.65
3 O 0.0000 0.5000 0.5000  2 Cu 2.00
4 O 0.5000 0.0000 0.5000  2 Cu 2.00
5 F 0.2500 0.7500 0.5000  4 Sr 2.50
6 F 0.7500 0.2500 0.5000  4 Sr 2.50
7 Cu 0.0000 0.0000 0.0000  4 O 2.00

Calculated values
ρ: 4.9 g/cm³
D(E_F): 1.0 states/eV/cell
Final energy: -5.674 eV/atom
ΔE to the lowest computed polymorph: 0 meV/atom
Total moment: 0.00 μB per cell

***

(16)
Entry from Alexandria via LeMat-Bulk: a geometry-optimized Ti3Cu2SbP6O24 structure (PBE-GGA).

a = 8.7025 Å, b = 8.7025 Å, c = 8.7025 Å
α = 60.34°, β = 60.34°, γ = 60.34°
Closest atoms and distances in Å follow each position.
Fractional coordinates of all 36 atoms:
1 O 0.4088 0.5924 0.2386  1 P 1.55
2 O 0.7635 0.5567 0.4191  1 P 1.55
3 O 0.1976 0.9973 0.3741  1 P 1.56
4 O 0.0499 0.2620 0.9220  1 P 1.56
5 O 0.5978 0.8001 0.0385  1 P 1.53
6 O 0.4191 0.7635 0.5567  1 P 1.55
7 O 0.9604 0.7212 0.0993  1 P 1.55
8 O 0.4726 0.3382 0.1110  1 P 1.53
9 O 0.5063 0.6963 0.8768  1 P 1.56
10 O 0.3741 0.1976 0.9973  1 P 1.56
11 O 0.8768 0.5063 0.6963  1 P 1.56
12 O 0.1110 0.4726 0.3382  1 P 1.53
13 O 0.9973 0.3741 0.1976  1 P 1.56
14 O 0.9220 0.0499 0.2620  1 P 1.56
15 O 0.2620 0.9220 0.0499  1 P 1.56
16 O 0.7212 0.0993 0.9604  1 P 1.55
17 O 0.3382 0.1110 0.4726  1 P 1.53
18 O 0.0993 0.9604 0.7212  1 P 1.55
19 O 0.6963 0.8768 0.5063  1 P 1.56
20 O 0.8001 0.0385 0.5978  1 P 1.53
21 O 0.5924 0.2386 0.4088  1 P 1.55
22 O 0.2386 0.4088 0.5924  1 P 1.55
23 O 0.5567 0.4191 0.7635  1 P 1.55
24 O 0.0385 0.5978 0.8001  1 P 1.53
25 P 0.2617 0.9576 0.5324  4 O 1.53-1.56
26 P 0.4463 0.7514 0.0484  4 O 1.53-1.56
27 P 0.0484 0.4463 0.7514  4 O 1.53-1.56
28 P 0.5324 0.2617 0.9576  4 O 1.53-1.56
29 P 0.7514 0.0484 0.4463  4 O 1.53-1.56
30 P 0.9576 0.5324 0.2617  4 O 1.53-1.56
31 Cu 0.4994 0.4994 0.4994  6 O 2.29-2.40
32 Cu 0.0025 0.0025 0.0025  6 O 2.20-2.32
33 Ti 0.6444 0.6444 0.6444  6 O 1.92-2.05
34 Ti 0.3556 0.3556 0.3556  6 O 1.90-1.97
35 Ti 0.1430 0.1430 0.1430  6 O 1.92-2.04
36 Sb 0.8567 0.8567 0.8567  6 O 2.15-2.24

Calculated values
ρ: 3.4 g/cm³
D(E_F): 15.9 states/eV/cell
Final energy: -7.370 eV/atom
Total moment: 0.88 μB per cell

***

(17)
Entry from Alexandria via LeMat-Bulk: a geometry-optimized PmCu2Si2 structure (PBE-GGA).

a = 4.0594 Å, b = 4.0594 Å, c = 5.7463 Å
α = 110.68°, β = 110.68°, γ = 90.00°
Closest atoms and distances in Å follow each position.
Fractional coordinates of all 5 atoms:
1 Si 0.6206 0.6206 0.2411  1 Si 2.40, 4 Cu 2.40
2 Si 0.3794 0.3794 0.7589  1 Si 2.40, 4 Cu 2.40
3 Cu 0.7500 0.2500 0.5000  4 Si 2.40
4 Cu 0.2500 0.7500 0.5000  4 Si 2.40
5 Pm 0.0000 0.0000 0.0000  8 Si 3.11, 8 Cu 3.21

Calculated values
ρ: 6.6 g/cm³
D(E_F): 1.0 states/eV/cell
Final energy: -5.362 eV/atom
Total moment: 0.00 μB per cell

***

(18)
Entry from Alexandria via LeMat-Bulk: a geometry-optimized Sr2CuSe structure (PBE-GGA).

a = 4.4350 Å, b = 4.4350 Å, c = 7.8600 Å
α = 73.66°, β = 73.66°, γ = 59.96°
Closest atoms and distances in Å follow each position.
Fractional coordinates of all 4 atoms:
1 Cu 0.7500 0.7500 0.7500  6 Sr 3.17-3.18
2 Sr 0.9991 0.9991 0.0026  3 Se 3.15, 3 Cu 3.17-3.18
3 Sr 0.5009 0.5009 0.4974  3 Se 3.15, 3 Cu 3.17-3.18
4 Se 0.2500 0.2500 0.2500  6 Sr 3.15

Calculated values
ρ: 4.2 g/cm³
D(E_F): 2.3 states/eV/cell
Final energy: -3.630 eV/atom
Total moment: 0.00 μB per cell